# SrCaSi

Crystalline SrCaSi at its relaxed geometry (PBEsol, the Alexandria database).

spin magnetization = 0.000 Bohr magnetons per cell
VASP energy = -3.7170 eV per atom
raw formation energy = -0.477 eV per atom

a = 4.8737 Å, b = 7.9789 Å, c = 9.0362 Å
α = 90.00°, β = 90.00°, γ = 90.00°
Fractional positions:
Sr (0.7500, 0.4781, 0.1799)
Sr (0.7500, 0.9781, 0.3201)
Sr (0.2500, 0.0219, 0.6799)
Sr (0.2500, 0.5219, 0.8201)
Ca (0.2500, 0.6488, 0.4262)
Ca (0.7500, 0.8512, 0.9262)
Ca (0.2500, 0.1488, 0.0738)
Ca (0.7500, 0.3512, 0.5738)
Si (0.7500, 0.2332, 0.8935)
Si (0.7500, 0.7332, 0.6065)
Si (0.2500, 0.7668, 0.1065)
Si (0.2500, 0.2668, 0.3935)

# Sr2CaSi

Crystalline Sr2CaSi at its relaxed geometry (PBEsol, the Alexandria database).

spin magnetization = 0.000 Bohr magnetons per cell
VASP energy = -3.0058 eV per atom
raw formation energy = -0.116 eV per atom

a = 3.9879 Å, b = 4.9810 Å, c = 8.2405 Å
α = 107.59°, β = 90.00°, γ = 90.00°
Fractional positions:
Ca (0.0000, 0.7884, 0.5768)
Si (0.5000, 0.6466, 0.2931)
Sr (0.0000, 0.1128, 0.2256)
Sr (0.5000, 0.4490, 0.8980)

# Ca2TaSi

Crystalline Ca2TaSi at its relaxed geometry (PBEsol, the Alexandria database).

spin magnetization = 0.002 Bohr magnetons per cell
VASP energy = -5.3906 eV per atom
raw formation energy = 0.250 eV per atom

a = 3.9691 Å, b = 4.2967 Å, c = 6.2329 Å
α = 90.00°, β = 108.57°, γ = 90.00°
Fractional positions:
Ca (0.1000, 0.0000, 0.2000)
Ca (0.4002, 0.5000, 0.8005)
Si (0.8043, 0.0000, 0.6087)
Ta (0.6955, 0.5000, 0.3911)

# CaTaSi

Crystalline CaTaSi at its relaxed geometry (PBEsol, the Alexandria database).

spin magnetization = 0.000 Bohr magnetons per cell
VASP energy = -6.5247 eV per atom
raw formation energy = 0.286 eV per atom

a = 3.2377 Å, b = 4.6046 Å, c = 4.6046 Å
α = 120.00°, β = 90.00°, γ = 90.00°
Fractional positions:
Ca (0.0000, 0.0000, 0.0000)
Si (0.5000, 0.6667, 0.3333)
Ta (0.5000, 0.3333, 0.6667)

# CaTa2Si

Crystalline CaTa2Si at its relaxed geometry (PBEsol, the Alexandria database).

spin magnetization = 0.001 Bohr magnetons per cell
VASP energy = -7.8867 eV per atom
raw formation energy = 0.359 eV per atom

a = 4.6856 Å, b = 4.6856 Å, c = 4.6856 Å
α = 60.00°, β = 60.00°, γ = 60.00°
Fractional positions:
Ca (0.5000, 0.5000, 0.5000)
Si (0.2500, 0.2500, 0.2500)
Ta (0.0000, 0.0000, 0.0000)
Ta (0.7500, 0.7500, 0.7500)

# Ca2TaSi

Crystalline Ca2TaSi at its relaxed geometry (PBEsol, the Alexandria database).

spin magnetization = 0.000 Bohr magnetons per cell
VASP energy = -5.2405 eV per atom
raw formation energy = 0.401 eV per atom

a = 3.0082 Å, b = 5.7483 Å, c = 5.7483 Å
α = 120.09°, β = 93.02°, γ = 93.02°
Fractional positions:
Ca (0.0000, 0.5000, 0.0000)
Ca (0.0000, 0.0000, 0.5000)
Si (0.5000, 0.5000, 0.5000)
Ta (0.5000, 0.0000, 0.0000)

# CaTa2Si

Crystalline CaTa2Si at its relaxed geometry (PBEsol, the Alexandria database).

spin magnetization = 0.000 Bohr magnetons per cell
VASP energy = -7.4589 eV per atom
raw formation energy = 0.787 eV per atom

a = 4.4284 Å, b = 4.4284 Å, c = 9.9948 Å
α = 102.80°, β = 102.80°, γ = 90.00°
Fractional positions:
Ca (0.2500, 0.7500, 0.5000)
Ca (0.0000, 0.0000, 0.0000)
Si (0.7500, 0.2500, 0.5000)
Si (0.5000, 0.5000, 0.0000)
Ta (0.5130, 0.8750, 0.2500)
Ta (0.7370, 0.3750, 0.2500)
Ta (0.1250, 0.2630, 0.7500)
Ta (0.6250, 0.4870, 0.7500)

# CaTa2Si

Crystalline CaTa2Si at its relaxed geometry (PBEsol, the Alexandria database).

spin magnetization = 0.000 Bohr magnetons per cell
VASP energy = -8.0882 eV per atom
raw formation energy = 0.157 eV per atom

a = 2.7609 Å, b = 5.0804 Å, c = 6.2120 Å
α = 114.14°, β = 102.84°, γ = 90.00°
Fractional positions:
Ca (0.5000, 0.0000, 0.0000)
Si (0.0000, 0.5000, 0.0000)
Ta (0.7046, 0.7046, 0.4093)
Ta (0.2954, 0.2954, 0.5907)

# CaTa2Si

Crystalline CaTa2Si at its relaxed geometry (PBEsol, the Alexandria database).

spin magnetization = 0.000 Bohr magnetons per cell
VASP energy = -7.9063 eV per atom
raw formation energy = 0.339 eV per atom

a = 4.0424 Å, b = 4.0424 Å, c = 5.3486 Å
α = 112.20°, β = 112.20°, γ = 90.00°
Fractional positions:
Ca (0.5000, 0.5000, 0.0000)
Si (0.0000, 0.0000, 0.0000)
Ta (0.7500, 0.2500, 0.5000)
Ta (0.2500, 0.7500, 0.5000)

# CaTa2ZnSi

Crystalline CaTa2ZnSi at its relaxed geometry (PBEsol, the Alexandria database).

spin magnetization = 0.000 Bohr magnetons per cell
VASP energy = -6.0679 eV per atom
raw formation energy = 0.845 eV per atom

a = 4.7003 Å, b = 4.7003 Å, c = 5.1035 Å
α = 90.00°, β = 90.00°, γ = 90.00°
Fractional positions:
Zn (0.5000, 0.5000, 0.5000)
Si (0.0000, 0.0000, 0.0000)
Ca (0.0000, 0.0000, 0.5000)
Ta (0.0000, 0.5000, 0.0000)
Ta (0.5000, 0.0000, 0.0000)

# Ca2SiTc

Crystalline Ca2SiTc at its relaxed geometry (PBEsol, the Alexandria database).

spin magnetization = 0.000 Bohr magnetons per cell
VASP energy = -5.4898 eV per atom
raw formation energy = -0.170 eV per atom

a = 4.0707 Å, b = 4.0707 Å, c = 7.9216 Å
α = 75.11°, β = 75.11°, γ = 60.00°
Fractional positions:
Ca (0.9626, 0.9626, 0.1123)
Ca (0.7863, 0.7863, 0.6411)
Si (0.5412, 0.5412, 0.3764)
Tc (0.2077, 0.2077, 0.3770)

# CaSi2Te

Crystalline CaSi2Te at its relaxed geometry (PBEsol, the Alexandria database).

spin magnetization = 0.000 Bohr magnetons per cell
VASP energy = -4.3993 eV per atom
distance to the lowest polymorph of the same formula = 0 meV per atom
raw formation energy = -0.111 eV per atom

a = 3.3976 Å, b = 3.3976 Å, c = 7.9803 Å
α = 90.00°, β = 90.00°, γ = 90.00°
Fractional positions:
Ca (0.5000, 0.5000, 0.7735)
Te (0.0000, 0.0000, 0.5144)
Si (0.0000, 0.0000, 0.0607)
Si (0.5000, 0.5000, 0.1514)